The following is a DFT calculation (PBE-GGA) of Ba2Tl3RuO6 after structural relaxation.

a b c (Å): 6.521 6.521 6.453
angles (deg): 98.16 98.16 120.34
Atoms (fractional coordinates):
Tl 0.500 0.500 0.500
Tl 0.846 0.154 0.500
Tl 0.154 0.846 0.500
O 0.063 0.313 0.175
O 0.937 0.687 0.825
O 0.189 0.189 0.785
O 0.313 0.063 0.175
O 0.811 0.811 0.215
O 0.687 0.937 0.825
Ru 0.000 0.000 0.000
Ba 0.330 0.670 0.000
Ba 0.670 0.330 0.000

magnetic moment = 0.25 μB per atom
V = 227.0 Å³/cell
ΔE_f (raw) = -1.343 eV per atom